1.
Below is a relaxed TlHg2OsSe crystal, with properties calculated at the PBE level.

a b c (Å): 5.6068 5.6068 4.5534
angles (deg): 90.00 90.00 90.00
Last column: nearest neighbours and their distance in Å.
Space group P4/mmm (No. 123)
Unique sites:
Tl1 0.0000 0.0000 0.0000 [1 per cell]  8 Hg 3.61, 4 Os 3.96
Hg1 0.0000 0.5000 0.5000 [2 per cell]  2 Se 2.80
Os1 0.5000 0.5000 0.0000 [1 per cell]  2 Se 2.28
Se1 0.5000 0.5000 0.5000 [1 per cell]  2 Os 2.28

## Properties
E_form (uncorrected) (eV/atom): 0.8682
Crystal system: tetragonal

=====

2.
Below is a relaxed TcPtS2Cl crystal, with properties calculated at the PBE level.

a b c (Å): 4.7464 4.7464 4.7924
angles (deg): 90.00 90.00 90.00
Last column: nearest neighbours and their distance in Å.
Space group P4/mmm (No. 123)
Unique sites:
Tc1 0.0000 0.0000 0.0000 [1 per cell]  4 Cl 3.36, 8 S 3.37
Pt1 0.5000 0.5000 0.5000 [1 per cell]  4 S 2.37, 2 Cl 2.40
S1 0.0000 0.5000 0.5000 [2 per cell]  2 Pt 2.37
Cl1 0.5000 0.5000 0.0000 [1 per cell]  2 Pt 2.40

## Properties
E_form (uncorrected) (eV/atom): 0.8179
ΔE to the lowest computed polymorph (meV per atom): 143.2
Crystal system: tetragonal

=====

3.
Below is a relaxed Tm4HCN2 crystal, with properties calculated at the PBE level.

a b c (Å): 4.8506 4.8506 9.8102
angles (deg): 90.00 90.00 90.00
Last column: nearest neighbours and their distance in Å.
Space group I4/mmm (No. 139)
Unique sites:
Tm1 0.0000 0.0000 0.2374 [4 per cell]  1 C 2.33, 4 N 2.43, 1 H 2.58
Tm2 0.0000 0.5000 0.0000 [4 per cell]  2 H 2.43, 2 C 2.43, 2 N 2.45
H1 0.0000 0.0000 0.5000 [2 per cell]  6 Tm 2.43-2.58
C1 0.0000 0.0000 0.0000 [2 per cell]  6 Tm 2.33-2.43
N1 0.0000 0.5000 0.2500 [4 per cell]  6 Tm 2.43-2.45

## Properties
Crystal system: tetragonal

=====

Computed values of N(E_F) (unit: states/eV per atom) for the preceding records, in sequence: 0.8791; 0.5961; 0.3406.
Computed values of DFT total energy (unit: eV/atom) for the preceding records, in sequence: -2.67; -4.48; -6.97.